(1)
NaTcBC2: optimized geometry, PBE.

Cell lengths 3.8899, 3.8899, 4.1201 Å; angles 90.00, 90.00, 90.00 degrees
Fractional positions:
Na  0.0000  0.0000  0.0000
Tc  0.5000  0.5000  0.5000
B  0.0000  0.0000  0.5000
C  0.0000  0.5000  0.0000
C  0.5000  0.0000  0.0000

energy = -0.1377 hartree per atom


(2)
NaBTe2C: optimized geometry, PBE.

Cell lengths 4.7027, 4.7027, 4.6481 Å; angles 90.00, 90.00, 90.00 degrees
Fractional positions:
Na  0.0000  0.0000  0.0000
B  0.5000  0.5000  0.0000
Te  0.0000  0.5000  0.5000
Te  0.5000  0.0000  0.5000
C  0.0000  0.0000  0.5000

formation energy from raw total energies = 140.3 kJ per mole of atoms


(3)
NaB2WC: optimized geometry, PBE.

Cell lengths 3.6041, 3.6041, 4.0477 Å; angles 90.00, 90.00, 90.00 degrees
Fractional positions:
Na  0.0000  0.0000  0.0000
B  0.0000  0.5000  0.5000
B  0.5000  0.0000  0.5000
W  0.5000  0.5000  0.0000
C  0.0000  0.0000  0.5000

energy = -0.1907 hartree per atom